# 1
First-principles (PBEsol) data for Zr6CI12 after structural relaxation, as listed in Alexandria via LeMat-Bulk.

Lattice parameters (Å, degrees): 8.956 8.956 8.956 106.93 106.93 106.93
Atoms (fractional coordinates):
Zr1 0.912 0.728 0.975
I1 0.314 0.919 0.770
I2 0.919 0.770 0.314
Zr2 0.728 0.975 0.912
I3 0.081 0.230 0.686
I4 0.770 0.314 0.919
Zr3 0.025 0.088 0.272
I5 0.551 0.627 0.855
C1 0.000 0.000 0.000
I6 0.230 0.686 0.081
Zr4 0.975 0.912 0.728
I7 0.686 0.081 0.230
I8 0.627 0.855 0.551
I9 0.855 0.551 0.627
I10 0.373 0.145 0.449
I11 0.145 0.449 0.373
Zr5 0.272 0.025 0.088
Zr6 0.088 0.272 0.025
I12 0.449 0.373 0.145

- D(E_F): 1.31 states/eV per cell
- E_tot: -104.048 eV for the cell shown
- Total magnetic moment: 0.00 μB per formula unit
- Raw formation energy: -0.982 eV/atom
- Space group: No. 148

# 2
First-principles (PBEsol) data for Al2AgRu after structural relaxation, as listed in Alexandria via LeMat-Bulk.

Lattice parameters (Å, degrees): 4.370 4.370 4.370 60.00 60.00 60.00
Atoms (fractional coordinates):
Ru1 0.250 0.250 0.250
Al1 0.750 0.750 0.750
Al2 0.000 0.000 0.000
Ag1 0.500 0.500 0.500

- D(E_F): 2.15 states/eV per cell
- E_tot: -21.570 eV for the cell shown
- Total magnetic moment: 0.00 μB per formula unit
- Energy of formation: 24 meV/atom
- Space group: No. 216

# 3
First-principles (PBEsol) data for La3Tl after structural relaxation, as listed in Alexandria via LeMat-Bulk.

Lattice parameters (Å, degrees): 3.618 5.658 5.978 90.00 90.00 90.00
Atoms (fractional coordinates):
Tl1 0.000 0.500 0.349
La1 0.500 0.500 0.861
La2 0.000 0.000 0.006
La3 0.500 0.000 0.451

- D(E_F): 4.22 states/eV per cell
- E_tot: -19.554 eV for the cell shown
- Total magnetic moment: 0.00 μB per formula unit
- Energy of formation: -221 meV/atom
- Energy above the lowest structure with this stoichiometry: 0.0613 eV/atom
- Space group: No. 25

# 4
First-principles (PBEsol) data for Li2InOs after structural relaxation, as listed in Alexandria via LeMat-Bulk.

Lattice parameters (Å, degrees): 2.744 4.641 4.888 90.00 93.90 90.00
Atoms (fractional coordinates):
Li1 0.235 0.000 0.214
Li2 0.765 0.000 0.786
Os1 0.500 0.500 0.000
In1 0.000 0.500 0.500

- D(E_F): 1.83 states/eV per cell
- E_tot: -18.500 eV for the cell shown
- Total magnetic moment: 0.00 μB per formula unit
- Energy of formation: 158 meV/atom
- Space group: No. 10

# 5
First-principles (PBEsol) data for ReOsCl2 after structural relaxation, as listed in Alexandria via LeMat-Bulk.

Lattice parameters (Å, degrees): 2.848 4.610 5.938 96.88 103.88 90.00
Last column: magnetic moment on the atom in μB.
Atoms (fractional coordinates):
Re1 0.000 0.500 0.000  0.14
Cl1 0.655 0.717 0.310  0.00
Os1 0.500 0.000 0.000  0.21
Cl2 0.345 0.283 0.690  0.00

- D(E_F): 3.51 states/eV per cell
- E_tot: -26.950 eV for the cell shown
- Total magnetic moment: 0.37 μB per formula unit
- Raw formation energy: 0.653 eV/atom
- Energy above the lowest structure with this stoichiometry: 0.1706 eV/atom
- Space group: No. 12

# 6
First-principles (PBEsol) data for MgIn3S after structural relaxation, as listed in Alexandria via LeMat-Bulk.

Lattice parameters (Å, degrees): 5.303 5.303 5.303 90.00 90.00 90.00
Atoms (fractional coordinates):
S1 0.500 0.500 0.500
Mg1 0.000 0.000 0.000
In1 0.000 0.000 0.500
In2 0.000 0.500 0.000
In3 0.500 0.000 0.000

- D(E_F): 2.02 states/eV per cell
- E_tot: -12.722 eV for the cell shown
- Total magnetic moment: 0.00 μB per formula unit
- Raw formation energy: 0.465 eV/atom
- Energy above the lowest structure with this stoichiometry: 0.2223 eV/atom
- Space group: No. 221